Here is crystalline Hf2MgHgH at its relaxed geometry from Alexandria. Energies are from GGA-PBE.

abc: 4.298 4.298 4.579
angles: 90.00 90.00 90.00
Space group P4/mmm (No. 123)
Inequivalent atoms, fractional coordinates:
Hf 0.000 0.500 0.000 x2
Mg 0.000 0.000 0.500 x1
Hg 0.500 0.500 0.500 x1
H 0.000 0.000 0.000 x1

Summary:
Volume   16.91 A^3/atom
Electronic total energy   -25.72 eV/cell
Calculated density   11.4 Mg/m³
ΔE to the lowest computed polymorph   0.00 kJ per mole of atoms